Below is an optimized crystal structure of SrTa2Pt, with properties calculated at the GGA-PBE level.

a b c (Å): 6.0298 6.0298 2.9037
angles (deg): 80.42 80.42 124.49
Atoms (fractional coordinates):
Ta  0.0000  0.0000  0.0000
Ta  0.5000  0.5000  0.0000
Sr  0.0000  0.5000  0.5000
Pt  0.5000  0.0000  0.5000

## Properties
Energy of formation from the pure elements   462 meV/atom
Volume   20.317 A^3/atom
Density of states at the Fermi level   3.54 states/eV/cell
Total magnetic moment   0.0 μB per formula unit

---

Below is an optimized crystal structure of K2AsHCl6, with properties calculated at the GGA-PBE level.

a b c (Å): 7.9250 7.4955 7.8848
angles (deg): 120.42 123.29 94.85
Atoms (fractional coordinates):
Cl  0.8134  0.7819  0.4756
Cl  0.1838  0.7646  0.0397
Cl  0.6485  0.7112  0.7997
Cl  0.1352  0.2165  0.4345
Cl  0.7944  0.2465  0.9438
Cl  0.3938  0.2637  0.0753
K  0.2265  0.8152  0.4901
K  0.7492  0.2059  0.4969
As  0.9748  0.9994  0.9917
H  0.5796  0.4990  0.2505

## Properties
Volume   29.182 A^3/atom
Density of states at the Fermi level   0.00 states/eV/cell
Total magnetic moment   0.0 μB per formula unit
Uncorrected energy   -3.3079 eV per atom

---

Below is an optimized crystal structure of RbLaSm4S8, with properties calculated at the GGA-PBE level.

a b c (Å): 8.4280 8.4280 8.5492
angles (deg): 60.47 60.47 60.00
Atoms (fractional coordinates):
S  0.2306  0.7539  0.2615
S  0.7568  0.7568  0.7295
S  0.8052  0.2354  0.7241
S  0.7539  0.2306  0.2615
S  0.2310  0.2310  0.3071
S  0.2354  0.8052  0.7241
S  0.2354  0.2354  0.7241
S  0.7539  0.7539  0.2615
Sm  0.0041  0.0041  0.5040
Sm  0.4877  0.0041  0.5040
Sm  0.0041  0.4877  0.5040
Sm  0.6255  0.6255  0.1234
Rb  0.3725  0.3725  0.8826
La  0.0038  0.0038  0.9886

## Properties
Uncorrected formation energy   -1.91 eV per atom
Volume   30.886 A^3/atom
Density of states at the Fermi level   0.00 states/eV/cell
Total magnetic moment   0.0 μB per formula unit

---

Below is an optimized crystal structure of Dy4ErHg2, with properties calculated at the GGA-PBE level.

a b c (Å): 5.0715 5.0715 10.4209
angles (deg): 75.92 75.92 60.00
Atoms (fractional coordinates):
Hg  0.6006  0.6006  0.1981
Hg  0.3994  0.3994  0.8019
Er  0.5000  0.5000  0.5000
Dy  0.2962  0.2962  0.1115
Dy  0.1083  0.1083  0.6752
Dy  0.8917  0.8917  0.3248
Dy  0.7038  0.7038  0.8885

## Properties
Energy of formation from the pure elements   35 meV/atom
Volume   31.824 A^3/atom
Density of states at the Fermi level   7.92 states/eV/cell
Total magnetic moment   0.0 μB per formula unit

---

Below is an optimized crystal structure of SrTcOs2, with properties calculated at the GGA-PBE level.

a b c (Å): 4.6013 4.6013 4.6013
angles (deg): 119.98 119.98 90.04
Site moments in Bohr magnetons follow the coordinates.
Atoms (fractional coordinates):
Sr  0.5000  0.5000  0.0000  0.00
Tc  0.7500  0.2500  0.5000  0.15
Os  0.2500  0.7500  0.5000  0.32
Os  0.0000  0.0000  0.0000  0.33

## Properties
Energy of formation from the pure elements   1098 meV/atom
Volume   17.227 A^3/atom
Density of states at the Fermi level   5.87 states/eV/cell
Total magnetic moment   0.8 μB per formula unit

---

Below is an optimized crystal structure of MnZnBr, with properties calculated at the GGA-PBE level.

a b c (Å): 4.6048 4.6048 4.6048
angles (deg): 60.00 60.00 60.00
Site moments in Bohr magnetons follow the coordinates.
Atoms (fractional coordinates):
Br  0.5000  0.5000  0.5000  0.05
Mn  0.7500  0.7500  0.7500  3.88
Zn  0.0000  0.0000  0.0000  0.01

## Properties
Uncorrected formation energy   0.41 eV per atom
Volume   23.015 A^3/atom
Density of states at the Fermi level   3.41 states/eV/cell
Total magnetic moment   4.2 μB per formula unit

---

Below is an optimized crystal structure of TbTmTl, with properties calculated at the GGA-PBE level.

a b c (Å): 5.3803 5.3803 6.7016
angles (deg): 90.00 90.00 119.98
Atoms (fractional coordinates):
Tm  0.3334  0.1666  0.2500
Tm  0.6666  0.8334  0.7500
Tl  0.3332  0.1668  0.7500
Tl  0.6668  0.8332  0.2500
Tb  0.0000  0.5000  0.5000
Tb  0.0000  0.5000  0.0000

## Properties
Energy of formation from the pure elements   -253 meV/atom
Volume   28.007 A^3/atom
Density of states at the Fermi level   7.03 states/eV/cell
Total magnetic moment   0.0 μB per formula unit

---

Below is an optimized crystal structure of MgTaTc2Br, with properties calculated at the GGA-PBE level.

a b c (Å): 4.8012 4.8012 4.5486
angles (deg): 90.00 90.00 90.00
Site moments in Bohr magnetons follow the coordinates.
Atoms (fractional coordinates):
Tc  0.5000  0.0000  0.0000  1.91
Tc  0.0000  0.5000  0.0000  1.91
Br  0.0000  0.0000  0.5000  0.17
Ta  0.5000  0.5000  0.5000  -0.97
Mg  0.0000  0.0000  0.0000  0.00

## Properties
Uncorrected formation energy   2.00 eV per atom
Volume   20.970 A^3/atom
Density of states at the Fermi level   4.40 states/eV/cell
Total magnetic moment   3.1 μB per formula unit

---

Record-wise calculated density values, in g cm⁻³: 13.171; 2.087; 4.156; 9.082; 13.641; 4.816; 10.519; 7.620